# 1
DFT (meta-GGA SCAN) results for CrNi2Ir at its PBEsol-relaxed geometry.

Cell: 3.5633 3.5633 4.4370 Å, 113.67 113.67 90.00°
Last column: magnetic moment on the atom in μB.
Positions (direct):
1 Ni 0.7500 0.2500 0.5000  -0.51
2 Ni 0.2500 0.7500 0.5000  -0.51
3 Ir 0.0000 0.0000 0.0000  -0.41
4 Cr 0.5000 0.5000 0.0000  2.29

Results
- M_tot: 0.96 μB/f.u.
- Energy: -122.269 eV for the cell shown
- D(E_F): 1.095 states/eV per atom
- Density: 12.95 g/cm³
- E_form: -0.44 eV/f.u.

# 2
DFT (meta-GGA SCAN) results for LaYNi2 at its PBEsol-relaxed geometry.

Cell: 3.7004 4.2935 5.4363 Å, 90.00 109.90 90.00°
Positions (direct):
1 Y 0.5108 0.5000 0.0217
2 Ni 0.9502 0.0000 0.9004
3 Ni 0.8031 0.5000 0.6063
4 La 0.2358 0.0000 0.4717

Results
- M_tot: 0.00 μB/f.u.
- Energy: -104.681 eV for the cell shown
- D(E_F): 0.698 states/eV per atom
- Distance to the lowest polymorph of the same formula: 0.000 eV/atom
- Density: 7.06 g/cm³
- E_form: -1.39 eV/f.u.

# 3
DFT (meta-GGA SCAN) results for HgSbOs2 at its PBEsol-relaxed geometry.

Cell: 2.9213 4.5126 6.1655 Å, 111.47 103.70 90.00°
Positions (direct):
1 Hg 0.2406 0.7406 0.4812
2 Os 0.0523 0.0523 0.1047
3 Os 0.7452 0.2452 0.4904
4 Sb 0.4619 0.4619 0.9237

Results
- M_tot: 0.00 μB/f.u.
- Energy: -245.897 eV for the cell shown
- D(E_F): 0.756 states/eV per atom
- Distance to the lowest polymorph of the same formula: 0.280 eV/atom
- Density: 15.95 g/cm³